(1)
This record from Alexandria describes a relaxed LaPuCu2 crystal. The functional is PBE.

Calculated values
- E (eV per atom) = -6.860

Unit cell a=3.5290 b=3.5290 c=7.2409 alpha=90.00 beta=90.00 gamma=90.00
Sites, in units of the cell vectors:
Cu  0.0000  0.0000  0.2329
Cu  0.0000  0.0000  0.7671
Pu  0.5000  0.5000  0.0000
La  0.5000  0.5000  0.5000



(2)
This record from Alexandria describes a relaxed LaPu2Cu crystal. The functional is PBE.

Calculated values
- E (eV per atom) = -9.241

Unit cell a=3.6005 b=3.6005 c=8.0157 alpha=90.00 beta=90.00 gamma=90.00
Sites, in units of the cell vectors:
La  0.5000  0.5000  0.5000
Pu  0.0000  0.0000  0.8046
Pu  0.0000  0.0000  0.1954
Cu  0.5000  0.5000  0.0000



(3)
This record from Alexandria describes a relaxed LaPuCu crystal. The functional is PBE.

Calculated values
- E (eV per atom) = -7.704

Unit cell a=3.5733 b=3.5733 c=6.5536 alpha=105.82 beta=105.82 gamma=90.00
Sites, in units of the cell vectors:
La  0.3113  0.3113  0.6226
Cu  0.6611  0.6611  0.3222
Pu  0.0276  0.0276  0.0552



(4)
This record from Alexandria describes a relaxed La2PuCu crystal. The functional is PBE.

Calculated values
- E (eV per atom) = -6.743

Unit cell a=3.5194 b=3.5194 c=11.2191 alpha=80.98 beta=80.98 gamma=60.00
Sites, in units of the cell vectors:
La  0.0999  0.0999  0.7003
La  0.9001  0.9001  0.2997
Cu  0.5000  0.5000  0.5000
Pu  0.0000  0.0000  0.0000



(5)
This record from Alexandria describes a relaxed La2PuCu crystal. The functional is PBE.

Calculated values
- E (eV per atom) = -7.032

Unit cell a=3.6141 b=3.6141 c=8.5950 alpha=90.00 beta=90.00 gamma=90.00
Sites, in units of the cell vectors:
La  0.0000  0.0000  0.2132
La  0.0000  0.0000  0.7868
Pu  0.5000  0.5000  0.5000
Cu  0.5000  0.5000  0.0000



(6)
This record from Alexandria describes a relaxed LaPuCuRu crystal. The functional is PBE.

Calculated values
- E (eV per atom) = -8.195

Unit cell a=4.9683 b=4.9683 c=4.9683 alpha=60.00 beta=60.00 gamma=60.00
Sites, in units of the cell vectors:
Ru  0.2500  0.2500  0.2500
La  0.0000  0.0000  0.0000
Pu  0.5000  0.5000  0.5000
Cu  0.7500  0.7500  0.7500



(7)
This record from Alexandria describes a relaxed LaPuCuS4 crystal. The functional is PBE.

Calculated values
- formation energy without anion corrections (eV/f.u.) = -9.88
- E (eV per atom) = -7.107

Unit cell a=6.7386 b=5.6423 c=8.0739 alpha=90.00 beta=107.13 gamma=90.00
Sites, in units of the cell vectors:
S  0.9832  0.4858  0.2547
S  0.0168  0.5142  0.7453
S  0.5693  0.2500  0.8819
S  0.4307  0.7500  0.1181
S  0.5729  0.2500  0.4006
S  0.0168  0.9858  0.7453
S  0.9832  0.0142  0.2547
S  0.4271  0.7500  0.5994
Cu  0.2468  0.7500  0.3140
Cu  0.7532  0.2500  0.6860
Pu  0.7421  0.7500  0.4391
Pu  0.2579  0.2500  0.5609
La  0.2690  0.2500  0.0672
La  0.7310  0.7500  0.9328



(8)
This record from Alexandria describes a relaxed LaPuCuSn crystal. The functional is PBE.

Calculated values
- E (eV per atom) = -7.076

Unit cell a=5.3212 b=5.3212 c=5.3212 alpha=60.00 beta=60.00 gamma=60.00
Sites, in units of the cell vectors:
Pu  0.5000  0.5000  0.5000
La  0.0000  0.0000  0.0000
Sn  0.2500  0.2500  0.2500
Cu  0.7500  0.7500  0.7500



(9)
This record from Alexandria describes a relaxed LaPuZnCu crystal. The functional is PBE.

Calculated values
- E (eV per atom) = -6.192

Unit cell a=5.1313 b=5.1313 c=5.1313 alpha=60.00 beta=60.00 gamma=60.00
Sites, in units of the cell vectors:
Cu  0.2500  0.2500  0.2500
Zn  0.7500  0.7500  0.7500
Pu  0.5000  0.5000  0.5000
La  0.0000  0.0000  0.0000



(10)
This record from Alexandria describes a relaxed RbLaCu3 crystal. The functional is PBE.

Calculated values
- E (eV per atom) = -2.977

Unit cell a=5.5852 b=5.5852 c=5.5852 alpha=90.00 beta=90.00 gamma=90.00
Sites, in units of the cell vectors:
Rb  0.5000  0.5000  0.5000
Cu  0.5000  0.0000  0.0000
Cu  0.0000  0.5000  0.0000
Cu  0.0000  0.0000  0.5000
La  0.0000  0.0000  0.0000



(11)
This record from Alexandria describes a relaxed RbLa2Cu crystal. The functional is PBE.

Calculated values
- E (eV per atom) = -3.181

Unit cell a=5.5733 b=5.5733 c=5.5733 alpha=60.00 beta=60.00 gamma=60.00
Sites, in units of the cell vectors:
La  0.2500  0.2500  0.2500
La  0.7500  0.7500  0.7500
Cu  0.0000  0.0000  0.0000
Rb  0.5000  0.5000  0.5000



(12)
This record from Alexandria describes a relaxed RbLa2Cu crystal. The functional is PBE.

Calculated values
- E (eV per atom) = -3.287

Unit cell a=8.9575 b=8.9575 c=7.3114 alpha=52.22 beta=52.22 gamma=90.00
Sites, in units of the cell vectors:
Rb  0.7500  0.2500  0.5000
Rb  0.0000  0.0000  0.0000
La  0.5520  0.1250  0.2500
La  0.1980  0.6250  0.2500
La  0.3750  0.4480  0.7500
La  0.8750  0.8020  0.7500
Cu  0.2500  0.7500  0.5000
Cu  0.5000  0.5000  0.0000